This record from Alexandria via LeMat-Bulk describes KBe4V2 after structural relaxation. The functional is GGA-PBE.

Unit cell a=4.654 b=4.654 c=12.595 alpha=90.00 beta=90.00 gamma=90.00
Atoms (fractional coordinates):
K1 0.000 0.000 0.000
K2 0.500 0.500 0.500
Be1 0.000 0.000 0.226
Be2 0.000 0.000 0.774
Be3 0.000 0.500 0.000
Be4 0.000 0.500 0.500
Be5 0.500 0.000 0.000
Be6 0.500 0.000 0.500
Be7 0.500 0.500 0.274
Be8 0.500 0.500 0.726
V1 0.000 0.000 0.419
V2 0.000 0.000 0.581
V3 0.500 0.500 0.081
V4 0.500 0.500 0.919

Properties
For the volume, the calculation gives 273 Å³ per cell. The space group is No. 139. The calculation puts the electronic total energy at -0.1130 Ha/atom. For the density, the calculation gives 2.2 g/cm3. For the formation energy, the calculation gives 175.4 kJ per mole of atoms.

This record from Alexandria via LeMat-Bulk describes Ag3GeI4 after structural relaxation. The functional is GGA-PBE.

Unit cell a=7.599 b=7.599 c=9.501 alpha=90.00 beta=90.00 gamma=90.00
Atoms (fractional coordinates):
Ag1 0.000 0.000 0.000
Ag2 0.000 0.500 0.250
Ag3 0.000 0.500 0.750
Ag4 0.500 0.000 0.250
Ag5 0.500 0.000 0.750
Ag6 0.500 0.500 0.500
Ge1 0.000 0.000 0.500
Ge2 0.500 0.500 0.000
I1 0.241 0.241 0.126
I2 0.241 0.759 0.874
I3 0.259 0.259 0.626
I4 0.259 0.741 0.374
I5 0.741 0.259 0.374
I6 0.741 0.741 0.626
I7 0.759 0.241 0.874
I8 0.759 0.759 0.126

Properties
For the volume, the calculation gives 549 Å³ per cell. The space group is No. 121. The calculation puts the electronic total energy at -0.0893 Ha/atom. For the density, the calculation gives 5.5 g/cm3.

This record from Alexandria via LeMat-Bulk describes PaCdW after structural relaxation. The functional is GGA-PBE.

Unit cell a=3.159 b=3.159 c=12.997 alpha=90.00 beta=90.00 gamma=90.00
Atoms (fractional coordinates):
Pa1 0.250 0.250 0.218
Pa2 0.750 0.750 0.782
Cd1 0.250 0.250 0.585
Cd2 0.750 0.750 0.415
W1 0.250 0.250 0.942
W2 0.750 0.750 0.058

Properties
For the volume, the calculation gives 130 Å³ per cell. The space group is No. 129. The calculation puts the electronic total energy at -0.2838 Ha/atom. For the density, the calculation gives 13.5 g/cm3. For the formation energy, the calculation gives 6.2 kJ per mole of atoms.

This record from Alexandria via LeMat-Bulk describes CsSrIr2 after structural relaxation. The functional is GGA-PBE.

Unit cell a=7.415 b=7.415 c=7.415 alpha=90.00 beta=90.00 gamma=90.00
Atoms (fractional coordinates):
Cs1 0.000 0.000 0.000
Cs2 0.000 0.500 0.500
Cs3 0.500 0.000 0.500
Cs4 0.500 0.500 0.000
Sr1 0.000 0.000 0.500
Sr2 0.000 0.500 0.000
Sr3 0.500 0.000 0.000
Sr4 0.500 0.500 0.500
Ir1 0.250 0.250 0.250
Ir2 0.250 0.250 0.750
Ir3 0.250 0.750 0.250
Ir4 0.250 0.750 0.750
Ir5 0.750 0.250 0.250
Ir6 0.750 0.250 0.750
Ir7 0.750 0.750 0.250
Ir8 0.750 0.750 0.750

Properties
For the volume, the calculation gives 408 Å³ per cell. The space group is No. 225. The calculation puts the electronic total energy at -0.1431 Ha/atom. For the density, the calculation gives 9.9 g/cm3. For the formation energy, the calculation gives 112.9 kJ per mole of atoms.